# 1
GGA-PBE HoNi6Ge4, relaxed; formation energy = -492 meV/atom; SG = P-6m2; VASP energy = -5.7408 eV/atom; theoretical density = 8.84 g cm⁻³
1.0
6.822 0.000 0.000
-3.411 5.908 0.000
0.000 0.000 3.766
Ho Ni Ge
1 6 4
Direct
0.000 0.000 0.000 Ho
0.205 0.410 0.500 Ni
0.205 0.795 0.500 Ni
0.537 0.074 0.000 Ni
0.537 0.463 0.000 Ni
0.590 0.795 0.500 Ni
0.926 0.463 0.000 Ni
0.333 0.667 0.000 Ge
0.383 0.192 0.500 Ge
0.808 0.192 0.500 Ge
0.808 0.617 0.500 Ge


# 2
GGA-PBE Pm5Dy4In4, relaxed; formation energy = -314 meV/atom; SG = I4/m; VASP energy = -4.3993 eV/atom; theoretical density = 7.69 g cm⁻³
1.0
-6.222 6.222 2.558
6.222 -6.222 2.558
6.222 6.222 -2.558
Pm Dy In
5 4 4
Direct
0.000 0.000 0.000 Pm
0.309 0.598 0.908 Pm
0.402 0.309 0.711 Pm
0.598 0.691 0.289 Pm
0.691 0.402 0.092 Pm
0.095 0.393 0.488 Dy
0.393 0.905 0.298 Dy
0.607 0.095 0.702 Dy
0.905 0.607 0.512 Dy
0.105 0.763 0.868 In
0.237 0.105 0.341 In
0.763 0.895 0.659 In
0.895 0.237 0.132 In


# 3
GGA-PBE TcW2Br, relaxed; SG = I-42d; ΔE_f (raw) = 651 kJ/mol of formula units; VASP energy = -7.7985 eV/atom; theoretical density = 10.14 g cm⁻³; energy above the lowest structure with this stoichiometry = 1168 meV per atom
1.0
-3.080 3.080 4.712
3.080 -3.080 4.712
3.080 3.080 -4.712
Tc W Br
2 4 2
Direct
0.000 0.000 0.000 Tc
0.750 0.250 0.500 Tc
0.117 0.625 0.992 W
0.375 0.367 0.492 W
0.633 0.125 0.008 W
0.875 0.883 0.508 W
0.250 0.750 0.500 Br
0.500 0.500 0.000 Br